{"formula": "NbCrO4", "functional": "PBEsol", "state": "relaxed", "sg": "No. 65", "total_energy_ev_per_atom": -9.26, "formation_energy_uncorrected_mev_per_atom": -2255, "cell": [[3.0253, 0.0000, 0.0000], [0.0000, 4.6214, 0.0089], [0.0000, -0.0817, 4.6207]], "species": ["Cr", "O", "O", "O", "O", "Nb"], "fractional_positions": [[0.5000, 0.0000, 0.0000], [0.5000, 0.7026, 0.2974], [0.0000, 0.8081, 0.8081], [0.0000, 0.1919, 0.1919], [0.5000, 0.2974, 0.7026], [0.0000, 0.5000, 0.5000]]}